# PBE CaRe2Pt, relaxed
data_CaRe2Pt
_chemical_formula_sum 'Ca4 Re8 Pt4'
_cell_length_a 7.874
_cell_length_b 7.874
_cell_length_c 5.082
_cell_angle_alpha 90.00
_cell_angle_beta 90.00
_cell_angle_gamma 90.00
_symmetry_space_group_name_H-M 'I -4 2 d'
_symmetry_Int_Tables_number 122
_symmetry_space_group_name_Hall 'I -4 2bw'
loop_
_atom_site_label
_atom_site_fract_x
_atom_site_fract_y
_atom_site_fract_z
Ca1 0.000 0.000 0.000
Re1 0.199 0.250 0.625
Pt1 0.000 0.000 0.500
# Formation energy in meV per atom: 820
# E_tot in eV per formula unit: -29.66
# Fermi-level density of states in states/eV/f.u.: 5.71


# PBE TlTc2H2, relaxed
data_TlTc2H2
_chemical_formula_sum 'Tl2 Tc4 H4'
_cell_length_a 3.105
_cell_length_b 3.105
_cell_length_c 12.083
_cell_angle_alpha 90.00
_cell_angle_beta 90.00
_cell_angle_gamma 90.00
_symmetry_space_group_name_H-M 'I 4/m m m'
_symmetry_Int_Tables_number 139
_symmetry_space_group_name_Hall '-I 4 2'
loop_
_atom_site_label
_atom_site_fract_x
_atom_site_fract_y
_atom_site_fract_z
Tl1 0.000 0.000 0.000
Tc1 0.000 0.000 0.328
H1 0.000 0.500 0.250
# E_tot in eV per formula unit: -28.09
# Fermi-level density of states in states/eV/f.u.: 2.78


# PBE BaLi2Ru, relaxed
data_BaLi2Ru
_chemical_formula_sum 'Ba1 Li2 Ru1'
_cell_length_a 3.368
_cell_length_b 4.885
_cell_length_c 5.538
_cell_angle_alpha 90.00
_cell_angle_beta 101.59
_cell_angle_gamma 90.00
_symmetry_space_group_name_H-M 'P 1 2/m 1'
_symmetry_Int_Tables_number 10
_symmetry_space_group_name_Hall '-P 2y'
loop_
_atom_site_label
_atom_site_fract_x
_atom_site_fract_y
_atom_site_fract_z
Ba1 0.000 0.000 0.000
Li1 0.298 0.500 0.668
Ru1 0.500 0.000 0.500
# Formation energy in meV per atom: 470
# E_tot in eV per formula unit: -13.15
# Fermi-level density of states in states/eV/f.u.: 3.29


# PBE Dy3BeSi6Ni2, relaxed
data_Dy3BeSi6Ni2
_chemical_formula_sum 'Dy3 Be1 Si6 Ni2'
_cell_length_a 5.2607
_cell_length_b 5.2607
_cell_length_c 8.9176
_cell_angle_alpha 90.00
_cell_angle_beta 90.00
_cell_angle_gamma 120.00
_symmetry_space_group_name_H-M 'P -3 m 1'
_symmetry_Int_Tables_number 164
_symmetry_space_group_name_Hall '-P 3 2"'
loop_
_atom_site_label
_atom_site_fract_x
_atom_site_fract_y
_atom_site_fract_z
Dy1 0.0000 0.0000 0.0000
Dy2 0.3333 0.6667 0.5796
Be1 0.0000 0.0000 0.5000
Si1 0.1635 0.3270 0.2837
Ni1 0.3333 0.6667 0.0923
# Uncorrected formation energy in eV/atom: -0.28
# E_tot in eV per formula unit: -65.02
# Fermi-level density of states in states/eV/f.u.: 5.89


# PBE Sm2MgP2N6, relaxed
data_Sm2MgP2N6
_chemical_formula_sum 'Sm2 Mg1 P2 N6'
_cell_length_a 5.6016
_cell_length_b 5.6016
_cell_length_c 6.0591
_cell_angle_alpha 90.00
_cell_angle_beta 90.00
_cell_angle_gamma 120.00
_symmetry_space_group_name_H-M 'P -3'
_symmetry_Int_Tables_number 147
_symmetry_space_group_name_Hall '-P 3'
loop_
_atom_site_label
_atom_site_fract_x
_atom_site_fract_y
_atom_site_fract_z
Sm1 0.3333 0.6667 0.3173
Mg1 0.0000 0.0000 0.0000
P1 0.3333 0.6667 0.7953
N1 0.0817 0.3604 0.7777
# Uncorrected formation energy in eV/atom: -0.66
# E_tot in eV per formula unit: -79.09


> Which value of E_tot does entry 4 give?

-65.02 eV per formula unit


What did the second record say?
# PBE TlTc2H2, relaxed
data_TlTc2H2
_chemical_formula_sum 'Tl2 Tc4 H4'
_cell_length_a 3.105
_cell_length_b 3.105
_cell_length_c 12.083
_cell_angle_alpha 90.00
_cell_angle_beta 90.00
_cell_angle_gamma 90.00
_symmetry_space_group_name_H-M 'I 4/m m m'
_symmetry_Int_Tables_number 139
_symmetry_space_group_name_Hall '-I 4 2'
loop_
_atom_site_label
_atom_site_fract_x
_atom_site_fract_y
_atom_site_fract_z
Tl1 0.000 0.000 0.000
Tc1 0.000 0.000 0.328
H1 0.000 0.500 0.250
# E_tot in eV per formula unit: -28.09
# Fermi-level density of states in states/eV/f.u.: 2.78